Entry 1:
A relaxed structure of TbTe3Au, computed with PBE-GGA.

Calculated values
The value obtained for the uncorrected formation energy is -0.695 eV per atom.

a b c (Å): 7.8250 8.3217 11.4278
angles (deg): 90.00 125.25 90.00
Space group P2_1/c (No. 14)
Asymmetric unit:
Tb (0.2002, 0.1610, 0.2276) (multiplicity 4)
Te (0.0759, 0.1542, 0.9089) (multiplicity 4)
Te (0.2188, 0.6154, 0.9403) (multiplicity 4)
Te (0.4102, 0.0037, 0.7296) (multiplicity 4)
Au (0.4914, 0.1852, 0.0270) (multiplicity 4)

Entry 2:
A relaxed structure of CeSmGe2, computed with PBE-GGA.

Calculated values
Its formation energy is -549 meV per atom.

a b c (Å): 4.4085 4.4085 19.5636
angles (deg): 90.00 90.00 120.00
Space group R3m (No. 160, hexagonal axes)
Asymmetric unit:
Ce (0.0000, 0.0000, 0.0000) (multiplicity 3)
Sm (0.0000, 0.0000, 0.1728) (multiplicity 3)
Ge (0.0000, 0.0000, 0.4186) (multiplicity 3)
Ge (0.0000, 0.0000, 0.5831) (multiplicity 3)

Entry 3:
A relaxed structure of KCaSi2, computed with PBE-GGA.

Calculated values
The value obtained for the uncorrected formation energy is -0.169 eV per atom.

a b c (Å): 3.9020 4.7013 12.1351
angles (deg): 90.00 90.00 90.00
Space group Amm2 (No. 38)
Asymmetric unit:
K (0.0000, 0.0000, 0.0000) (multiplicity 2)
Ca (0.5000, 0.0000, 0.7200) (multiplicity 2)
Si (0.0000, 0.0000, 0.2799) (multiplicity 2)
Si (0.5000, 0.0000, 0.3958) (multiplicity 2)

Entry 4:
A relaxed structure of Fe2CoRu, computed with PBE-GGA.

Calculated values
Its formation energy is 141 meV per atom.

a b c (Å): 2.6069 2.6069 24.8312
angles (deg): 90.00 90.00 120.00
Space group R-3m (No. 166, hexagonal axes)
Asymmetric unit:
Fe (0.0000, 0.0000, 0.2466) (multiplicity 6)
Co (0.0000, 0.0000, 0.5000) (multiplicity 3)
Ru (0.0000, 0.0000, 0.0000) (multiplicity 3)

Entry 5:
A relaxed structure of Ca2AcPmCd4, computed with PBE-GGA.

Calculated values
Its formation energy is -353 meV per atom.

a b c (Å): 5.5118 5.5118 27.0654
angles (deg): 90.00 90.00 120.00
Space group R-3m (No. 166, hexagonal axes)
Asymmetric unit:
Ca (0.0000, 0.0000, 0.2487) (multiplicity 6)
Ac (0.0000, 0.0000, 0.0000) (multiplicity 3)
Pm (0.0000, 0.0000, 0.5000) (multiplicity 3)
Cd (0.0000, 0.0000, 0.1278) (multiplicity 6)
Cd (0.0000, 0.0000, 0.3792) (multiplicity 6)

Entry 6:
A relaxed structure of ZrReH, computed with PBE-GGA.

a b c (Å): 5.8611 8.9291 3.9271
angles (deg): 90.00 128.44 90.00
Space group C2/m (No. 12)
Asymmetric unit:
Zr (0.2500, 0.2500, 0.0000) (multiplicity 4)
Re (0.2154, 0.0000, 0.5182) (multiplicity 4)
H (0.0000, 0.3961, 0.5000) (multiplicity 4)

Entry 7:
A relaxed structure of SnB3As, computed with PBE-GGA.

Calculated values
Its formation energy is 2203 meV per atom.

a b c (Å): 4.4804 4.4804 4.4804
angles (deg): 90.00 90.00 90.00
Space group Pm-3m (No. 221)
Asymmetric unit:
Sn (0.0000, 0.0000, 0.0000) (multiplicity 1)
B (0.0000, 0.0000, 0.5000) (multiplicity 3)
As (0.5000, 0.5000, 0.5000) (multiplicity 1)

Entry 8:
A relaxed structure of ThGa2Cu8, computed with PBE-GGA.

Calculated values
Its formation energy is 188 meV per atom.

a b c (Å): 6.2140 6.2140 4.8009
angles (deg): 90.00 90.00 90.00
Space group P4/mmm (No. 123)
Asymmetric unit:
Th (0.0000, 0.0000, 0.0000) (multiplicity 1)
Ga (0.0000, 0.5000, 0.5000) (multiplicity 2)
Cu (0.3030, 0.3030, 0.2489) (multiplicity 8)

Entry 9:
A relaxed structure of PuZnSnAu6, computed with PBE-GGA.

Calculated values
Its formation energy is -35 meV per atom.

a b c (Å): 5.7482 9.1240 15.6197
angles (deg): 90.00 90.00 90.00
Space group Imma (No. 74)
Asymmetric unit:
Pu (0.0000, 0.2500, 0.0729) (multiplicity 4)
Zn (0.2500, 0.2500, 0.7500) (multiplicity 4)
Sn (0.0000, 0.0000, 0.5000) (multiplicity 4)
Au (0.0000, 0.2500, 0.2794) (multiplicity 4)
Au (0.0000, 0.2500, 0.8892) (multiplicity 4)
Au (0.2474, 0.0004, 0.3433) (multiplicity 16)

Entry 10:
A relaxed structure of LiCeCuPt, computed with PBE-GGA.

Calculated values
Its formation energy is -413 meV per atom.

a b c (Å): 6.7260 6.7260 6.7260
angles (deg): 90.00 90.00 90.00
Space group F-43m (No. 216)
Asymmetric unit:
Li (0.0000, 0.0000, 0.0000) (multiplicity 4)
Ce (0.0000, 0.0000, 0.5000) (multiplicity 4)
Cu (0.2500, 0.2500, 0.2500) (multiplicity 4)
Pt (0.2500, 0.2500, 0.7500) (multiplicity 4)

Entry 11:
A relaxed structure of Mg6Hg5Ge, computed with PBE-GGA.

Calculated values
Its formation energy is -198 meV per atom.

a b c (Å): 4.9070 7.0556 7.5299
angles (deg): 90.00 103.94 90.00
Space group P2/m (No. 10)
Asymmetric unit:
Mg (0.0000, 0.2437, 0.0000) (multiplicity 2)
Mg (0.3343, 0.2477, 0.6723) (multiplicity 4)
Hg (0.1678, 0.5000, 0.3343) (multiplicity 2)
Hg (0.1704, 0.0000, 0.3360) (multiplicity 2)
Hg (0.5000, 0.5000, 0.0000) (multiplicity 1)
Ge (0.5000, 0.0000, 0.0000) (multiplicity 1)

Entry 12:
A relaxed structure of Sr3MgI2Br6, computed with PBE-GGA.

Calculated values
The value obtained for the uncorrected formation energy is -1.802 eV per atom.

a b c (Å): 15.1471 8.7406 7.0232
angles (deg): 90.00 94.04 90.00
Space group C2/m (No. 12)
Asymmetric unit:
Sr (0.0000, 0.0000, 0.0000) (multiplicity 2)
Sr (0.2500, 0.2500, 0.5000) (multiplicity 4)
Mg (0.0000, 0.5000, 0.5000) (multiplicity 2)
I (0.1900, 0.0000, 0.8101) (multiplicity 4)
Br (0.0677, 0.2648, 0.2763) (multiplicity 8)
Br (0.1532, 0.5000, 0.7090) (multiplicity 4)

Entry 13:
A relaxed structure of NpHgPt2, computed with PBE-GGA.

Calculated values
Its formation energy is -270 meV per atom.

a b c (Å): 3.3670 3.3670 7.0293
angles (deg): 90.00 90.00 90.00
Space group P4/mmm (No. 123)
Asymmetric unit:
Np (0.0000, 0.0000, 0.0000) (multiplicity 1)
Hg (0.0000, 0.0000, 0.5000) (multiplicity 1)
Pt (0.5000, 0.5000, 0.2446) (multiplicity 2)

Entry 14:
A relaxed structure of LaCu2Ru, computed with PBE-GGA.

Calculated values
Its formation energy is 211 meV per atom.

a b c (Å): 4.2958 4.2958 17.9535
angles (deg): 90.00 90.00 90.00
Space group I-42d (No. 122)
Asymmetric unit:
La (0.0000, 0.0000, 0.0000) (multiplicity 4)
Cu (0.0948, 0.2500, 0.6250) (multiplicity 8)
Ru (0.0000, 0.0000, 0.5000) (multiplicity 4)

Entry 15:
A relaxed structure of La4Y2Se, computed with PBE-GGA.

Calculated values
The value obtained for the uncorrected formation energy is -0.106 eV per atom.

a b c (Å): 5.6461 5.6461 17.6724
angles (deg): 90.00 90.00 90.00
Space group I4/mmm (No. 139)
Asymmetric unit:
La (0.0000, 0.0000, 0.1624) (multiplicity 4)
La (0.0000, 0.5000, 0.0000) (multiplicity 4)
Y (0.0000, 0.0000, 0.3708) (multiplicity 4)
Se (0.0000, 0.0000, 0.0000) (multiplicity 2)

Entry 16:
A relaxed structure of Ca2LaDy, computed with PBE-GGA.

Calculated values
Its formation energy is 146 meV per atom.

a b c (Å): 4.1916 4.1916 8.4892
angles (deg): 90.00 90.00 90.00
Space group P4/mmm (No. 123)
Asymmetric unit:
Ca (0.0000, 0.0000, 0.2387) (multiplicity 2)
La (0.5000, 0.5000, 0.5000) (multiplicity 1)
Dy (0.5000, 0.5000, 0.0000) (multiplicity 1)

Entry 17:
A relaxed structure of Tc2MoW, computed with PBE-GGA.

Calculated values
Its formation energy is 105 meV per atom.

a b c (Å): 5.4673 8.8083 2.7226
angles (deg): 90.00 110.45 90.00
Space group C2/m (No. 12)
Asymmetric unit:
Tc (0.2500, 0.2500, 0.0000) (multiplicity 4)
Mo (0.0000, 0.0000, 0.5000) (multiplicity 2)
W (0.0000, 0.5000, 0.5000) (multiplicity 2)

Entry 18:
A relaxed structure of Li4Pm3In2, computed with PBE-GGA.

Calculated values
Its formation energy is -219 meV per atom.

a b c (Å): 5.0260 5.0260 9.3941
angles (deg): 90.00 90.00 120.00
Space group P-3m1 (No. 164)
Asymmetric unit:
Li (0.0000, 0.0000, 0.1701) (multiplicity 2)
Li (0.3333, 0.6667, 0.4101) (multiplicity 2)
Pm (0.0000, 0.0000, 0.5000) (multiplicity 1)
Pm (0.3333, 0.6667, 0.0979) (multiplicity 2)
In (0.3333, 0.6667, 0.7168) (multiplicity 2)

Entry 19:
A relaxed structure of CaTbCe4, computed with PBE-GGA.

Calculated values
Its formation energy is 252 meV per atom.

a b c (Å): 9.1171 9.1171 9.1171
angles (deg): 90.00 90.00 90.00
Space group F-43m (No. 216)
Asymmetric unit:
Ca (0.0000, 0.0000, 0.0000) (multiplicity 4)
Tb (0.2500, 0.2500, 0.7500) (multiplicity 4)
Ce (0.1177, 0.1177, 0.3823) (multiplicity 16)

Entry 20:
A relaxed structure of PrHgPb, computed with PBE-GGA.

Calculated values
Its formation energy is -341 meV per atom.

a b c (Å): 3.8062 3.8062 12.0616
angles (deg): 90.00 90.00 90.00
Space group I4mm (No. 107)
Asymmetric unit:
Pr (0.0000, 0.0000, 0.0000) (multiplicity 2)
Hg (0.0000, 0.0000, 0.6563) (multiplicity 2)
Pb (0.0000, 0.0000, 0.3104) (multiplicity 2)

Entry 21:
A relaxed structure of InIr3, computed with PBE-GGA.

Calculated values
Its formation energy is 243 meV per atom.

a b c (Å): 2.8762 2.8762 8.8767
angles (deg): 90.00 90.00 120.00
Space group P-6m2 (No. 187)
Asymmetric unit:
In (0.0000, 0.0000, 0.0000) (multiplicity 1)
Ir (0.0000, 0.0000, 0.5000) (multiplicity 1)
Ir (0.6667, 0.3333, 0.2569) (multiplicity 2)

Entry 22:
A relaxed structure of ScTaMo2, computed with PBE-GGA.

Calculated values
Its formation energy is 694 meV per atom.

a b c (Å): 7.2723 7.2723 5.6462
angles (deg): 90.00 90.00 90.00
Space group I-42d (No. 122)
Asymmetric unit:
Sc (0.0000, 0.0000, 0.0000) (multiplicity 4)
Ta (0.0000, 0.0000, 0.5000) (multiplicity 4)
Mo (0.2355, 0.2500, 0.6250) (multiplicity 8)

Entry 23:
A relaxed structure of LiDy2TmHg4, computed with PBE-GGA.

Calculated values
Its formation energy is -461 meV per atom.

a b c (Å): 5.1323 5.1323 25.3752
angles (deg): 90.00 90.00 120.00
Space group R-3m (No. 166, hexagonal axes)
Asymmetric unit:
Li (0.0000, 0.0000, 0.0000) (multiplicity 3)
Dy (0.0000, 0.0000, 0.2540) (multiplicity 6)
Tm (0.0000, 0.0000, 0.5000) (multiplicity 3)
Hg (0.0000, 0.0000, 0.1241) (multiplicity 6)
Hg (0.0000, 0.0000, 0.3746) (multiplicity 6)

Entry 24:
A relaxed structure of Rb2TlIn3Au4, computed with PBE-GGA.

Calculated values
Its formation energy is -253 meV per atom.

a b c (Å): 5.1146 5.1146 10.9814
angles (deg): 90.00 90.00 90.00
Space group P-4m2 (No. 115)
Asymmetric unit:
Rb (0.0000, 0.5000, 0.2403) (multiplicity 2)
Tl (0.0000, 0.0000, 0.5000) (multiplicity 1)
In (0.0000, 0.5000, 0.8880) (multiplicity 2)
In (0.5000, 0.5000, 0.5000) (multiplicity 1)
Au (0.0000, 0.0000, 0.0000) (multiplicity 1)
Au (0.0000, 0.5000, 0.6322) (multiplicity 2)
Au (0.5000, 0.5000, 0.0000) (multiplicity 1)

Entry 25:
A relaxed structure of Be2GeRh, computed with PBE-GGA.

Calculated values
Its formation energy is -222 meV per atom.

a b c (Å): 3.6660 3.6660 3.3983
angles (deg): 90.00 90.00 90.00
Space group P4/mmm (No. 123)
Asymmetric unit:
Be (0.0000, 0.5000, 0.0000) (multiplicity 2)
Ge (0.0000, 0.0000, 0.5000) (multiplicity 1)
Rh (0.5000, 0.5000, 0.5000) (multiplicity 1)

no.,calculated volume (Å³ per atom),E_tot (Ha/atom)
1,30.38,-0.153
2,27.44,-0.203
3,27.83,-0.134
4,12.18,-0.301
5,29.67,-0.089
6,13.42,-0.301
7,17.99,-0.130
8,16.85,-0.148
9,22.76,-0.162
10,19.02,-0.180
11,21.09,-0.055
12,38.65,-0.127
13,19.92,-0.243
14,20.71,-0.198
15,40.24,-0.194
16,37.29,-0.119
17,15.36,-0.405
18,22.83,-0.120
19,31.58,-0.177
20,29.12,-0.120
21,15.90,-0.260
22,18.66,-0.341
23,24.12,-0.094
24,28.73,-0.103
25,11.42,-0.187